A plane-wave DFT calculation with GGA-PBE was carried out for an optimized crystal structure of Ac2Nd3YTe6.

Geometry as POSCAR:
```
Ac2Nd3YTe6
1.0
4.528 0.000 0.000
0.000 9.182 0.380
-2.264 -2.592 9.562
Te Nd Ac Y
6 3 2 1
direct
0.661 0.071 0.322
0.336 0.408 0.673
0.664 0.592 0.327
0.339 0.929 0.678
0.006 0.761 0.012
0.994 0.239 0.988
0.173 0.837 0.346
0.500 0.500 0.000
0.827 0.163 0.654
0.166 0.333 0.331
0.834 0.667 0.669
0.500 0.000 0.000
```

## Properties
formation energy from raw total energies	-1.4138	eV/atom
E_tot	-64.800	eV/cell
density of states at the Fermi level	6.9	states/eV per cell